Entry from Alexandria: a geometry-optimized ErZn4Pd structure (PBE).

Properties
Symmetry ... No. 51
ΔH_f (0 K) ... -0.39 eV/atom
Polymorph energy (0 for the lowest one) ... 0 meV per atom

abc: 3.878 6.923 7.906
angles: 90.00 90.00 90.00
Element x y z (fractional)
Zn (0.500, 0.310, 0.541)
Er (0.000, 0.615, 0.750)
Pd (0.000, 0.785, 0.250)
Zn (0.000, 0.000, 0.000)
Zn (0.500, 0.944, 0.750)
Zn (0.500, 0.690, 0.459)
Zn (0.500, 0.056, 0.250)
Pd (0.000, 0.215, 0.750)
Zn (0.500, 0.310, 0.959)
Zn (0.500, 0.690, 0.041)
Zn (0.000, 0.000, 0.500)
Er (0.000, 0.385, 0.250)